--- a ---
DFT (PBE-GGA) results for RbZnSi3 after structural relaxation.

The space group is Pm-3m (No. 221) and the conventional cell measures 5.7164, 5.7164 and 5.7164 Å, with angles of 90.00, 90.00 and 90.00 degrees. The inequivalent atoms are Rb at (0.0000, 0.0000, 0.0000), Zn at (0.5000, 0.5000, 0.5000) and Si at (0.0000, 0.0000, 0.5000).

The theoretical density is 2.090 g cm⁻³. The density of states at the Fermi level comes out at 6.8 states/eV per cell.

--- b ---
DFT (PBE-GGA) results for RbZnSi3 after structural relaxation.

The space group is Pm-3m (No. 221) and the conventional cell measures 4.9568, 4.9568 and 4.9568 Å, with angles of 90.00, 90.00 and 90.00 degrees. The inequivalent atoms are Rb at (0.0000, 0.0000, 0.0000), Zn at (0.5000, 0.5000, 0.5000) and Si at (0.0000, 0.5000, 0.5000).

The theoretical density is 3.206 g cm⁻³. The density of states at the Fermi level comes out at 2.6 states/eV per cell.

Least stable structure: a